# 1
## LuFeC2 (PBE)

Data for crystalline LuFeC2 at its relaxed geometry.

abc: 3.466 3.715 3.715
angles: 74.97 90.00 90.00
Positions (direct):
Lu1 0.000 0.000 0.000
Fe1 0.500 0.610 0.610
C1 0.500 0.140 0.450
C2 0.500 0.450 0.140

Summary:
The magnetization comes out at 0.99 μB/f.u. The total energy is -8.146 eV per atom. The value obtained for the density of states at the Fermi level is 1.953 states/eV per cell. For the formation energy, the calculation gives -0.288 eV per atom.

# 2
## LaPaGeAu (PBE)

Data for crystalline LaPaGeAu at its relaxed geometry.

abc: 5.219 5.219 5.219
angles: 60.00 60.00 60.00
Positions (direct):
La1 0.000 0.000 0.000
Pa1 0.500 0.500 0.500
Ge1 0.750 0.750 0.750
Au1 0.250 0.250 0.250

Summary:
The magnetization comes out at 2.46 μB/f.u. The total energy is -5.946 eV per atom. The value obtained for the density of states at the Fermi level is 9.070 states/eV per cell. For the formation energy, the calculation gives -0.367 eV per atom.

# 3
## HfHg2Pd2 (PBE)

Data for crystalline HfHg2Pd2 at its relaxed geometry.

abc: 7.074 7.074 3.873
angles: 90.00 90.00 90.00
Positions (direct):
Hf1 0.000 0.000 0.000
Hf2 0.500 0.500 0.000
Hg1 0.164 0.336 0.500
Hg2 0.336 0.836 0.500
Hg3 0.664 0.164 0.500
Hg4 0.836 0.664 0.500
Pd1 0.138 0.638 0.000
Pd2 0.362 0.138 0.000
Pd3 0.638 0.862 0.000
Pd4 0.862 0.362 0.000

Summary:
The magnetization comes out at 0.00 μB/f.u. The total energy is -4.388 eV per atom. The value obtained for the density of states at the Fermi level is 3.331 states/eV per cell. The calculation puts the energy above the most stable polymorph in this dataset at 0.00 eV/f.u. For the formation energy, the calculation gives -0.200 eV per atom.